(1)
Crystalline Ac5LaY4 at its relaxed geometry, computed with GGA-PBE.

Lattice parameters (Å, degrees): 10.0673 10.0673 7.5129 103.71 103.71 31.56
Fractional positions:
Ac  0.0000  0.0000  0.0000
Ac  0.2009  0.2009  0.6036
Ac  0.3983  0.3983  0.1944
Ac  0.6017  0.6017  0.8056
Ac  0.7991  0.7991  0.3964
La  0.0000  0.0000  0.5000
Y  0.1989  0.1989  0.1018
Y  0.3992  0.3992  0.6970
Y  0.6008  0.6008  0.3030
Y  0.8011  0.8011  0.8982

- Theoretical density: 7.01 g cm⁻³
- Energy relative to the elements: 36 kJ/mol of formula units
- Raw total energy: -50.950 eV/cell


(2)
Crystalline PuMnInTc at its relaxed geometry, computed with GGA-PBE.

Lattice parameters (Å, degrees): 4.6607 4.6607 4.6607 60.00 60.00 60.00
Fractional positions:
Pu  0.0000  0.0000  0.0000
Mn  0.2500  0.2500  0.2500
In  0.5000  0.5000  0.5000
Tc  0.7500  0.7500  0.7500

- Theoretical density: 11.87 g cm⁻³
- Energy relative to the elements: 25 kJ/mol of formula units
- Raw total energy: -36.348 eV/cell


(3)
Crystalline SmHo2Zn at its relaxed geometry, computed with GGA-PBE.

Lattice parameters (Å, degrees): 3.5663 3.5663 8.6524 90.00 90.00 90.00
Fractional positions:
Sm  0.0000  0.0000  0.0000
Ho  0.5000  0.5000  0.2964
Ho  0.5000  0.5000  0.7036
Zn  0.0000  0.0000  0.5000

- Theoretical density: 8.23 g cm⁻³
- Energy relative to the elements: -63 kJ/mol of formula units
- Relative energy among the computed polymorphs: 0.000 eV/atom
- Raw total energy: -15.802 eV/cell


(4)
Crystalline LiLaPdO at its relaxed geometry, computed with GGA-PBE.

Lattice parameters (Å, degrees): 4.0860 4.0860 9.1149 90.00 90.00 90.00
Fractional positions:
Li  0.2500  0.7500  0.0000
Li  0.7500  0.2500  0.0000
La  0.2500  0.2500  0.3654
La  0.7500  0.7500  0.6346
Pd  0.2500  0.2500  0.8206
Pd  0.7500  0.7500  0.1794
O  0.2500  0.7500  0.5000
O  0.7500  0.2500  0.5000

- ΔE_f (raw): -1653 meV per atom
- Theoretical density: 5.85 g cm⁻³
- Raw total energy: -47.206 eV/cell


Which of these has the highest raw total energy?
SmHo2Zn


What is the formula in the fourth record?
LiLaPdO